ZnB3I: optimized geometry, PBE.

Results
size of the total moment: 0.00 μB per atom
E_tot: -2.654 eV/atom
uncorrected formation energy: 1.9169 eV/atom
symmetry: Pm-3m

Lattice parameters (Å, degrees): 4.3085 4.3085 4.3085 90.00 90.00 90.00
Fractional coordinates of all 5 atoms:
Zn  0.0000  0.0000  0.0000
B  0.0000  0.0000  0.5000
B  0.0000  0.5000  0.0000
B  0.5000  0.0000  0.0000
I  0.5000  0.5000  0.5000

---

ZrBI: optimized geometry, PBE.

Results
size of the total moment: 0.00 μB per atom
E_tot: -6.072 eV/atom
uncorrected formation energy: -0.4803 eV/atom
symmetry: C2/m

Lattice parameters (Å, degrees): 3.8880 3.8880 11.9960 104.14 104.14 58.95
Fractional coordinates of all 6 atoms:
Zr  0.1824  0.1824  0.3715
Zr  0.8176  0.8176  0.6285
B  0.4494  0.4494  0.5515
B  0.5506  0.5506  0.4485
I  0.2520  0.2520  0.8116
I  0.7480  0.7480  0.1884

---

Zr3BI: optimized geometry, PBE.

Results
size of the total moment: 0.00 μB per atom
E_tot: -6.683 eV/atom
uncorrected formation energy: 0.0917 eV/atom
symmetry: Pm-3m

Lattice parameters (Å, degrees): 4.7284 4.7284 4.7284 90.00 90.00 90.00
Fractional coordinates of all 5 atoms:
Zr  0.0000  0.0000  0.5000
Zr  0.0000  0.5000  0.0000
Zr  0.5000  0.0000  0.0000
B  0.0000  0.0000  0.0000
I  0.5000  0.5000  0.5000

---

ZrB2I: optimized geometry, PBE.

Results
size of the total moment: 0.00 μB per atom
E_tot: -4.671 eV/atom
uncorrected formation energy: 1.1921 eV/atom
symmetry: I-42d

Lattice parameters (Å, degrees): 6.0054 6.0054 6.0054 121.23 121.23 87.88
Fractional coordinates of all 8 atoms:
Zr  0.0000  0.0000  0.0000
Zr  0.7500  0.2500  0.5000
B  0.1365  0.6250  0.0115
B  0.3750  0.3865  0.5115
B  0.6135  0.1250  0.9885
B  0.8750  0.8635  0.4885
I  0.2500  0.7500  0.5000
I  0.5000  0.5000  0.0000

---

Zr6BI12: optimized geometry, PBE.

Results
size of the total moment: 0.00 μB per atom
E_tot: -4.982 eV/atom
uncorrected formation energy: -0.9518 eV/atom
symmetry: R-3

Lattice parameters (Å, degrees): 9.3197 9.3197 9.3197 106.81 106.81 106.81
Fractional coordinates of all 19 atoms:
Zr  0.2292  0.4744  0.4119
Zr  0.4119  0.2292  0.4744
Zr  0.4744  0.4119  0.2292
Zr  0.5256  0.5881  0.7708
Zr  0.5881  0.7708  0.5256
Zr  0.7708  0.5256  0.5881
B  0.5000  0.5000  0.5000
I  0.0614  0.1362  0.3601
I  0.1362  0.3601  0.0614
I  0.1927  0.5784  0.7238
I  0.2762  0.8073  0.4216
I  0.3601  0.0614  0.1362
I  0.4216  0.2762  0.8073
I  0.5784  0.7238  0.1927
I  0.6399  0.9386  0.8638
I  0.7238  0.1927  0.5784
I  0.8073  0.4216  0.2762
I  0.8638  0.6399  0.9386
I  0.9386  0.8638  0.6399

---

ZrBI3: optimized geometry, PBE.

Results
size of the total moment: 0.29 μB per atom
E_tot: -3.317 eV/atom
uncorrected formation energy: 0.6580 eV/atom
symmetry: Pm-3m

Lattice parameters (Å, degrees): 5.7507 5.7507 5.7507 90.00 90.00 90.00
Fractional coordinates of all 5 atoms:
Zr  0.0000  0.0000  0.0000
B  0.5000  0.5000  0.5000
I  0.0000  0.0000  0.5000
I  0.0000  0.5000  0.0000
I  0.5000  0.0000  0.0000

---

ZrB2I: optimized geometry, PBE.

Results
size of the total moment: 0.00 μB per atom
E_tot: -4.325 eV/atom
uncorrected formation energy: 1.5388 eV/atom
symmetry: Fm-3m

Lattice parameters (Å, degrees): 4.4780 4.4780 4.4780 60.00 60.00 60.00
Fractional coordinates of all 4 atoms:
Zr  0.0000  0.0000  0.0000
B  0.2500  0.2500  0.2500
B  0.7500  0.7500  0.7500
I  0.5000  0.5000  0.5000

---

ZrB3I: optimized geometry, PBE.

Results
size of the total moment: 0.00 μB per atom
E_tot: -3.791 eV/atom
uncorrected formation energy: 2.2348 eV/atom
symmetry: Pm-3m

Lattice parameters (Å, degrees): 4.3329 4.3329 4.3329 90.00 90.00 90.00
Fractional coordinates of all 5 atoms:
Zr  0.0000  0.0000  0.0000
B  0.0000  0.5000  0.5000
B  0.5000  0.0000  0.5000
B  0.5000  0.5000  0.0000
I  0.5000  0.5000  0.5000

---

ZrB3I: optimized geometry, PBE.

Results
size of the total moment: 0.00 μB per atom
E_tot: -4.096 eV/atom
uncorrected formation energy: 1.9306 eV/atom
symmetry: Pm-3m

Lattice parameters (Å, degrees): 4.7020 4.7020 4.7020 90.00 90.00 90.00
Fractional coordinates of all 5 atoms:
Zr  0.0000  0.0000  0.0000
B  0.0000  0.0000  0.5000
B  0.0000  0.5000  0.0000
B  0.5000  0.0000  0.0000
I  0.5000  0.5000  0.5000

---

ZrBI3: optimized geometry, PBE.

Results
size of the total moment: 0.41 μB per atom
E_tot: -3.157 eV/atom
uncorrected formation energy: 0.8178 eV/atom
symmetry: Pm-3m

Lattice parameters (Å, degrees): 5.0854 5.0854 5.0854 90.00 90.00 90.00
Fractional coordinates of all 5 atoms:
Zr  0.0000  0.0000  0.0000
B  0.5000  0.5000  0.5000
I  0.0000  0.5000  0.5000
I  0.5000  0.0000  0.5000
I  0.5000  0.5000  0.0000

---

In2B: optimized geometry, PBE.

Results
size of the total moment: 0.00 μB per atom
E_tot: -3.590 eV/atom
energy relative to the elements: 0.46 eV per atom
symmetry: Cm

Lattice parameters (Å, degrees): 5.7296 5.7296 7.7848 125.62 125.62 37.69
Fractional coordinates of all 6 atoms:
In  0.0000  0.0000  0.0000
In  0.3517  0.3517  0.1718
In  0.5786  0.5786  0.6936
In  0.7322  0.7322  0.4350
B  0.2494  0.2494  0.7707
B  0.3741  0.3741  0.7193

---

In2B: optimized geometry, PBE.

Results
size of the total moment: 0.00 μB per atom
E_tot: -3.774 eV/atom
energy relative to the elements: 0.28 eV per atom
symmetry: P1

Lattice parameters (Å, degrees): 3.1911 6.2189 6.5034 84.78 87.97 77.64
Fractional coordinates of all 6 atoms:
In  0.0000  0.0000  0.0000
In  0.0852  0.4462  0.1882
In  0.5657  0.1516  0.5651
In  0.6584  0.5969  0.7522
B  0.0785  0.8000  0.3574
B  0.5812  0.7979  0.3952

---

In2B: optimized geometry, PBE.

Results
size of the total moment: 0.00 μB per atom
E_tot: -3.775 eV/atom
energy relative to the elements: 0.28 eV per atom
symmetry: P-1

Lattice parameters (Å, degrees): 3.1845 6.3085 6.3732 86.69 80.03 84.57
Fractional coordinates of all 6 atoms:
In  0.0845  0.1969  0.1373
In  0.2941  0.6366  0.3013
In  0.7059  0.3634  0.6987
In  0.9155  0.8031  0.8627
B  0.2543  0.9844  0.4894
B  0.7457  0.0156  0.5106

---

In2B: optimized geometry, PBE.

Results
size of the total moment: 0.00 μB per atom
E_tot: -3.571 eV/atom
energy relative to the elements: 0.48 eV per atom
symmetry: P1

Lattice parameters (Å, degrees): 4.1209 5.7043 6.1893 67.00 71.16 84.71
Fractional coordinates of all 6 atoms:
In  0.0000  0.0000  0.0000
In  0.1296  0.8965  0.4778
In  0.4115  0.4469  0.1408
In  0.6577  0.4460  0.5560
B  0.5023  0.7667  0.7328
B  0.6283  0.0046  0.7754

---

In2B: optimized geometry, PBE.

Results
size of the total moment: 0.00 μB per atom
E_tot: -3.769 eV/atom
energy relative to the elements: 0.28 eV per atom
symmetry: P2_1/m

Lattice parameters (Å, degrees): 6.1490 3.2044 6.4605 90.00 97.74 90.00
Fractional coordinates of all 6 atoms:
In  0.1494  0.2500  0.1867
In  0.3002  0.7500  0.6193
In  0.6998  0.2500  0.3807
In  0.8506  0.7500  0.8133
B  0.4929  0.2500  0.0154
B  0.5071  0.7500  0.9846

---

In2B: optimized geometry, PBE.

Results
size of the total moment: 0.00 μB per atom
E_tot: -3.570 eV/atom
energy relative to the elements: 0.48 eV per atom
symmetry: P1

Lattice parameters (Å, degrees): 3.8598 5.6330 6.3297 96.93 94.88 108.83
Fractional coordinates of all 6 atoms:
In  0.0000  0.0000  0.0000
In  0.2131  0.5214  0.7305
In  0.4697  0.0496  0.5178
In  0.7112  0.5646  0.3304
B  0.6137  0.2477  0.9436
B  0.7552  0.5550  0.9518

---

In2B: optimized geometry, PBE.

Results
size of the total moment: 0.00 μB per atom
E_tot: -3.731 eV/atom
energy relative to the elements: 0.32 eV per atom
symmetry: P1

Lattice parameters (Å, degrees): 3.1818 4.8906 8.8009 90.16 100.24 90.07
Fractional coordinates of all 6 atoms:
In  0.0000  0.0000  0.0000
In  0.1528  0.0011  0.3866
In  0.4042  0.4990  0.7872
In  0.5785  0.5006  0.1974
B  0.3022  0.9989  0.6713
B  0.8120  0.9978  0.6928

---

InB4: optimized geometry, PBE.

Results
size of the total moment: 0.00 μB per atom
E_tot: -2.753 eV/atom
energy relative to the elements: 3.14 eV per atom
symmetry: Pm-3m

Lattice parameters (Å, degrees): 4.4784 4.4784 4.4784 90.00 90.00 90.00
Fractional coordinates of all 5 atoms:
In  0.0000  0.0000  0.0000
B  0.0000  0.0000  0.5000
B  0.0000  0.5000  0.0000
B  0.5000  0.0000  0.0000
B  0.5000  0.5000  0.5000

---

In2B: optimized geometry, PBE.

Results
size of the total moment: 0.00 μB per atom
E_tot: -3.557 eV/atom
energy relative to the elements: 0.49 eV per atom
symmetry: P-1

Lattice parameters (Å, degrees): 4.1901 5.3983 6.1593 69.63 77.95 81.83
Fractional coordinates of all 6 atoms:
In  0.0273  0.3786  0.2570
In  0.4048  0.8318  0.2856
In  0.5952  0.1682  0.7144
In  0.9727  0.6214  0.7430
B  0.0668  0.1462  0.9671
B  0.9332  0.8538  0.0329

---

InBIr2: optimized geometry, PBE.

Results
size of the total moment: 0.00 μB per atom
E_tot: -6.917 eV/atom
energy relative to the elements: -0.13 eV per atom
symmetry: Imm2

Lattice parameters (Å, degrees): 7.1308 7.1308 7.1308 156.57 156.22 33.63
Fractional coordinates of all 4 atoms:
In  0.0000  0.0000  0.0000
B  0.7413  0.2413  0.5000
Ir  0.1778  0.6778  0.5000
Ir  0.3577  0.3577  0.0000

---

In3BIr: optimized geometry, PBE.

Results
size of the total moment: 0.00 μB per atom
E_tot: -3.883 eV/atom
energy relative to the elements: 0.87 eV per atom
symmetry: Pm-3m

Lattice parameters (Å, degrees): 5.1383 5.1383 5.1383 90.00 90.00 90.00
Fractional coordinates of all 5 atoms:
In  0.0000  0.0000  0.5000
In  0.0000  0.5000  0.0000
In  0.5000  0.0000  0.0000
B  0.5000  0.5000  0.5000
Ir  0.0000  0.0000  0.0000

---

In2BIr: optimized geometry, PBE.

Results
size of the total moment: 0.00 μB per atom
E_tot: -4.365 eV/atom
energy relative to the elements: 0.89 eV per atom
symmetry: I-42d

Lattice parameters (Å, degrees): 5.7249 5.7249 5.7249 106.82 106.82 114.92
Fractional coordinates of all 8 atoms:
In  0.0815  0.6250  0.9565
In  0.3750  0.3315  0.4565
In  0.6685  0.1250  0.0435
In  0.8750  0.9185  0.5435
B  0.0000  0.0000  0.0000
B  0.7500  0.2500  0.5000
Ir  0.2500  0.7500  0.5000
Ir  0.5000  0.5000  0.0000

---

InBIr2: optimized geometry, PBE.

Results
size of the total moment: 0.00 μB per atom
E_tot: -6.843 eV/atom
energy relative to the elements: -0.06 eV per atom
symmetry: R-3m

Lattice parameters (Å, degrees): 6.7432 6.7432 6.7432 27.99 27.99 27.99
Fractional coordinates of all 4 atoms:
In  0.0000  0.0000  0.0000
B  0.5000  0.5000  0.5000
Ir  0.2220  0.2220  0.2220
Ir  0.7780  0.7780  0.7780

---

InB6Ir12: optimized geometry, PBE.

Results
size of the total moment: 0.00 μB per atom
E_tot: -7.883 eV/atom
energy relative to the elements: -0.03 eV per atom
symmetry: R-3m

Lattice parameters (Å, degrees): 6.5689 6.5689 6.5689 104.40 104.40 104.40
Fractional coordinates of all 19 atoms:
In  0.0000  0.0000  0.0000
B  0.2320  0.2320  0.6678
B  0.2320  0.6678  0.2320
B  0.3322  0.7680  0.7680
B  0.6678  0.2320  0.2320
B  0.7680  0.3322  0.7680
B  0.7680  0.7680  0.3322
Ir  0.1371  0.5000  0.8629
Ir  0.1371  0.8629  0.5000
Ir  0.1823  0.4423  0.4423
Ir  0.4423  0.1823  0.4423
Ir  0.4423  0.4423  0.1823
Ir  0.5000  0.1371  0.8629
Ir  0.5000  0.8629  0.1371
Ir  0.5577  0.5577  0.8177
Ir  0.5577  0.8177  0.5577
Ir  0.8177  0.5577  0.5577
Ir  0.8629  0.1371  0.5000
Ir  0.8629  0.5000  0.1371

---

In5B4Ir9: optimized geometry, PBE.

Results
size of the total moment: 0.00 μB per atom
E_tot: -6.881 eV/atom
energy relative to the elements: -0.21 eV per atom
symmetry: P-62m

Lattice parameters (Å, degrees): 5.6489 5.6489 10.4132 90.00 90.00 120.00
Fractional coordinates of all 18 atoms:
In  0.0000  0.0000  0.0000
In  0.0000  0.0000  0.3459
In  0.0000  0.0000  0.6541
In  0.3333  0.6667  0.5000
In  0.6667  0.3333  0.5000
B  0.3333  0.6667  0.1460
B  0.3333  0.6667  0.8540
B  0.6667  0.3333  0.1460
B  0.6667  0.3333  0.8540
Ir  0.0000  0.4776  0.2742
Ir  0.0000  0.4776  0.7258
Ir  0.0000  0.4801  0.0000
Ir  0.4776  0.0000  0.2742
Ir  0.4776  0.0000  0.7258
Ir  0.4801  0.0000  0.0000
Ir  0.5199  0.5199  0.0000
Ir  0.5224  0.5224  0.2742
Ir  0.5224  0.5224  0.7258